Run P
An optimized crystal structure of NaSmAu, computed with PBE.

Cell: 6.999 6.999 6.999 Å, 90.00 90.00 90.00°
Space group F-43m (No. 216)
Symmetry-distinct sites (fractional):
Na 0.000 0.000 0.000 (multiplicity 4)
Sm 0.000 0.000 0.500 (multiplicity 4)
Au 0.250 0.250 0.250 (multiplicity 4)


Run Q
An optimized crystal structure of NaSmAu, computed with PBE.

Cell: 7.018 7.018 7.018 Å, 90.00 90.00 90.00°
Space group F-43m (No. 216)
Symmetry-distinct sites (fractional):
Na 0.000 0.000 0.000 (multiplicity 4)
Sm 0.250 0.250 0.750 (multiplicity 4)
Au 0.000 0.000 0.500 (multiplicity 4)


Relative energy table, unit kJ/mol of atoms: run P 0.0; run Q 35.9